Entry 1:
# GGA-PBE Sr2HRhBr, optimized geometry
data_Sr2HRhBr
_symmetry_space_group_name_H-M 'P 4/m m m'
_symmetry_Int_Tables_number 123
_symmetry_space_group_name_Hall '-P 4 2'
_cell_length_a 5.533
_cell_length_b 5.533
_cell_length_c 3.652
_cell_angle_alpha 90.00
_cell_angle_beta 90.00
_cell_angle_gamma 90.00
loop_
_atom_site_label
_atom_site_fract_x
_atom_site_fract_y
_atom_site_fract_z
Sr1 0.000 0.500 0.000
H1 0.000 0.000 0.000
Rh1 0.000 0.000 0.500
Br1 0.500 0.500 0.500
# uncorrected energy	-3.9060	eV/atom

---

Entry 2:
# GGA-PBE Zr2HRhBr, optimized geometry
data_Zr2HRhBr
_symmetry_space_group_name_H-M 'P 4/m m m'
_symmetry_Int_Tables_number 123
_symmetry_space_group_name_Hall '-P 4 2'
_cell_length_a 5.006
_cell_length_b 5.006
_cell_length_c 4.520
_cell_angle_alpha 90.00
_cell_angle_beta 90.00
_cell_angle_gamma 90.00
loop_
_atom_site_label
_atom_site_fract_x
_atom_site_fract_y
_atom_site_fract_z
Zr1 0.000 0.500 0.000
H1 0.000 0.000 0.500
Rh1 0.500 0.500 0.500
Br1 0.500 0.500 0.000
# uncorrected energy	-4.8308	eV/atom

---

Entry 3:
# GGA-PBE HRuBr2, optimized geometry
data_HRuBr2
_symmetry_space_group_name_H-M 'F m -3 m'
_symmetry_Int_Tables_number 225
_symmetry_space_group_name_Hall '-F 4 2 3'
_cell_length_a 6.327
_cell_length_b 6.327
_cell_length_c 6.327
_cell_angle_alpha 90.00
_cell_angle_beta 90.00
_cell_angle_gamma 90.00
loop_
_atom_site_label
_atom_site_fract_x
_atom_site_fract_y
_atom_site_fract_z
H1 0.000 0.000 0.000
Ru1 0.000 0.000 0.500
Br1 0.250 0.250 0.250
# distance to the lowest polymorph of the same formula	428	meV per atom

---

Entry 4:
# GGA-PBE HRuBr2, optimized geometry
data_HRuBr2
_symmetry_space_group_name_H-M 'R -3 m'
_symmetry_Int_Tables_number 166
_symmetry_space_group_name_Hall '-R 3 2"'
_cell_length_a 3.9947
_cell_length_b 3.9947
_cell_length_c 18.0885
_cell_angle_alpha 90.00
_cell_angle_beta 90.00
_cell_angle_gamma 120.00
loop_
_atom_site_label
_atom_site_fract_x
_atom_site_fract_y
_atom_site_fract_z
H1 0.0000 0.0000 0.0000
Ru1 0.0000 0.0000 0.5000
Br1 0.0000 0.0000 0.0976
# distance to the lowest polymorph of the same formula	0	meV per atom